[1]
DFT (PBE) results for a relaxed Mn2CuBr crystal.

Unit cell a=3.4727 b=3.4727 c=20.8649 alpha=90.00 beta=90.00 gamma=120.00
Space group R-3m (No. 166, hexagonal axes)
Inequivalent atoms, fractional coordinates:
Mn1 0.0000 0.0000 0.2370 [6 per cell]
Cu1 0.0000 0.0000 0.5000 [3 per cell]
Br1 0.0000 0.0000 0.0000 [3 per cell]

Calculated values
For the magnetization, the calculation gives 8.2 μB per formula unit. The value obtained for the energy above the most stable polymorph in this dataset is 66 meV/atom. The total DFT energy (no corrections) is -68.39 eV for the cell shown.

***

[2]
DFT (PBE) results for a relaxed AlAsCl2 crystal.

Unit cell a=3.4388 b=3.4388 c=25.5702 alpha=90.00 beta=90.00 gamma=120.00
Space group R3m (No. 160, hexagonal axes)
Inequivalent atoms, fractional coordinates:
Al1 0.0000 0.0000 0.0000 [3 per cell]
As1 0.0000 0.0000 0.7375 [3 per cell]
Cl1 0.0000 0.0000 0.2717 [3 per cell]
Cl2 0.0000 0.0000 0.4812 [3 per cell]

Calculated values
For the magnetization, the calculation gives 0.0 μB per formula unit. The value obtained for the energy above the most stable polymorph in this dataset is 341 meV/atom. The total DFT energy (no corrections) is -39.59 eV for the cell shown.

***

[3]
DFT (PBE) results for a relaxed Hf8Hg2C3 crystal.

Unit cell a=14.170 b=6.556 c=5.787 alpha=90.00 beta=104.75 gamma=90.00
Space group C2/m (No. 12)
Inequivalent atoms, fractional coordinates:
Hf1 0.086 0.250 0.384 [8 per cell]
Hf2 0.091 0.000 0.892 [4 per cell]
Hf3 0.093 0.500 0.916 [4 per cell]
Hg1 0.248 0.500 0.665 [4 per cell]
C1 0.000 0.000 0.500 [2 per cell]
C2 0.000 0.242 0.000 [4 per cell]

Calculated values
For the magnetization, the calculation gives 0.0 μB per formula unit. Its formation energy is -0.296 eV per atom. The total DFT energy (no corrections) is -223.49 eV for the cell shown.